[1]
Computed, not measured: a relaxed FeTcAg2 crystal at the PBE level of DFT.

a = 7.325 Å, b = 7.325 Å, c = 5.000 Å
α = 90.00°, β = 90.00°, γ = 90.00°
Space group I-42d (No. 122)
Asymmetric unit:
Fe 0.000 0.000 0.000 x4
Tc 0.000 0.000 0.500 x4
Ag 0.221 0.250 0.125 x8

Calculated values
energy relative to the lowest polymorph listed for this composition: 0.962 eV per atom

=====

[2]
Computed, not measured: a relaxed Ce12Tl3Ga crystal at the PBE level of DFT.

a = 4.797 Å, b = 4.797 Å, c = 19.132 Å
α = 90.00°, β = 90.00°, γ = 90.00°
Space group P4/mmm (No. 123)
Asymmetric unit:
Ce 0.000 0.000 0.000 x1
Ce 0.000 0.000 0.244 x2
Ce 0.000 0.000 0.500 x1
Ce 0.000 0.500 0.117 x4
Ce 0.000 0.500 0.372 x4
Tl 0.500 0.500 0.245 x2
Tl 0.500 0.500 0.500 x1
Ga 0.500 0.500 0.000 x1

Calculated values
energy: -0.385 Ry/atom

=====

[3]
Computed, not measured: a relaxed Mg2AlSb crystal at the PBE level of DFT.

a = 7.128 Å, b = 7.128 Å, c = 7.128 Å
α = 90.00°, β = 90.00°, γ = 90.00°
Space group Fm-3m (No. 225)
Asymmetric unit:
Mg 0.250 0.250 0.250 x8
Al 0.000 0.000 0.000 x4
Sb 0.000 0.000 0.500 x4

Calculated values
uncorrected formation energy: 5 kJ/mol of formula units
energy relative to the lowest polymorph listed for this composition: 0.085 eV per atom

=====

[4]
Computed, not measured: a relaxed AlNiAgSe crystal at the PBE level of DFT.

a = 2.880 Å, b = 4.432 Å, c = 11.100 Å
α = 90.00°, β = 90.00°, γ = 90.00°
Space group Amm2 (No. 38)
Asymmetric unit:
Al 0.000 0.000 0.000 x2
Ni 0.500 0.000 0.177 x2
Ag 0.000 0.000 0.653 x2
Se 0.000 0.000 0.355 x2

Calculated values
uncorrected formation energy: -44 kJ/mol of formula units
energy relative to the lowest polymorph listed for this composition: 0.119 eV per atom

=====

[5]
Computed, not measured: a relaxed ZrCrAg2 crystal at the PBE level of DFT.

a = 4.003 Å, b = 4.022 Å, c = 4.421 Å
α = 90.00°, β = 90.00°, γ = 90.00°
Space group Pmmm (No. 47)
Asymmetric unit:
Zr 0.000 0.000 0.000 x1
Cr 0.500 0.500 0.000 x1
Ag 0.000 0.500 0.500 x1
Ag 0.500 0.000 0.500 x1

Calculated values
energy relative to the lowest polymorph listed for this composition: 0.053 eV per atom

=====

[6]
Computed, not measured: a relaxed DyHoMnTc crystal at the PBE level of DFT.

a = 6.941 Å, b = 6.941 Å, c = 6.941 Å
α = 90.00°, β = 90.00°, γ = 90.00°
Space group F-43m (No. 216)
Asymmetric unit:
Dy 0.000 0.000 0.000 x4
Ho 0.000 0.000 0.500 x4
Mn 0.250 0.250 0.750 x4
Tc 0.250 0.250 0.250 x4

Calculated values
energy: -0.519 Ry/atom

=====

[7]
Computed, not measured: a relaxed CeSiNiPt6 crystal at the PBE level of DFT.

a = 7.186 Å, b = 8.574 Å, c = 11.097 Å
α = 90.00°, β = 90.00°, γ = 90.00°
Space group Imma (No. 74)
Asymmetric unit:
Ce 0.000 0.250 0.143 x4
Si 0.000 0.000 0.500 x4
Ni 0.250 0.250 0.750 x4
Pt 0.000 0.250 0.402 x4
Pt 0.000 0.250 0.897 x4
Pt 0.239 0.007 0.874 x16

Calculated values
uncorrected formation energy: -329 kJ/mol of formula units

=====

[8]
Computed, not measured: a relaxed YSi4Pd6 crystal at the PBE level of DFT.

a = 7.1503 Å, b = 7.1503 Å, c = 3.8821 Å
α = 90.00°, β = 90.00°, γ = 120.00°
Space group P-6m2 (No. 187)
Asymmetric unit:
Y 0.0000 0.0000 0.0000 x1
Si 0.3333 0.6667 0.0000 x1
Si 0.3854 0.1927 0.5000 x3
Pd 0.1980 0.3960 0.5000 x3
Pd 0.5343 0.0686 0.0000 x3

Calculated values
uncorrected formation energy: -845 kJ/mol of formula units
energy relative to the lowest polymorph listed for this composition: 0.000 eV per atom

=====

[9]
Computed, not measured: a relaxed Rb2GaSnSe4 crystal at the PBE level of DFT.

a = 6.553 Å, b = 14.630 Å, c = 24.582 Å
α = 90.00°, β = 90.00°, γ = 90.00°
Space group Fddd (No. 70, origin choice 2)
Asymmetric unit:
Rb 0.125 0.125 0.308 x16
Ga 0.125 0.125 0.625 x8
Sn 0.125 0.125 0.125 x8
Se 0.096 0.276 0.819 x32

Calculated values
uncorrected formation energy: -587 kJ/mol of formula units

=====

DOS(E_F), respectively: 30.1 49.7 8.3 2.3 2.4 15.1 25.9 4.3 42.6 states/eV/cell.
Ρ, respectively: 9151 8917 3619 6388 8374 9543 13576 8113 3806 kg/m³.
Magnetic moment, respectively: 5.3 11.9 0.0 0.0 1.9 15.3 0.0 0.0 0.0 μB/cell.